[1]
## Li2CdPb (PBE-GGA)

Data for a relaxed Li2CdPb crystal.

Output
**Crystal system**: orthorhombic
**Polymorph energy (0 for the lowest one)**: 0.0787 eV/atom

a = 8.5496 Å, b = 8.7248 Å, c = 4.9300 Å
α = 90.00°, β = 90.00°, γ = 90.00°
Space group Pnma (No. 62)
Unique sites:
Li  0.1669  0.0811  0.0014 [8 per cell]
Cd  0.0012  0.2500  0.5026 [4 per cell]
Pb  0.1657  0.7500  0.9977 [4 per cell]


[2]
## RbTmSn (PBE-GGA)

Data for a relaxed RbTmSn crystal.

Output
**Crystal system**: cubic
**Electronic total energy**: -35.20 eV per cell

a = 7.5722 Å, b = 7.5722 Å, c = 7.5722 Å
α = 90.00°, β = 90.00°, γ = 90.00°
Space group F-43m (No. 216)
Unique sites:
Rb  0.0000  0.0000  0.0000 [4 per cell]
Tm  0.2500  0.2500  0.2500 [4 per cell]
Sn  0.0000  0.0000  0.5000 [4 per cell]


[3]
## GaAgBi (PBE-GGA)

Data for a relaxed GaAgBi crystal.

Output
**Crystal system**: cubic
**Electronic total energy**: -36.92 eV per cell

a = 6.9199 Å, b = 6.9199 Å, c = 6.9199 Å
α = 90.00°, β = 90.00°, γ = 90.00°
Space group F-43m (No. 216)
Unique sites:
Ga  0.0000  0.0000  0.0000 [4 per cell]
Ag  0.0000  0.0000  0.5000 [4 per cell]
Bi  0.2500  0.2500  0.7500 [4 per cell]


[4]
## ZnPd124 (PBE-GGA)

Data for a relaxed ZnPd124 crystal.

Output
**Crystal system**: cubic
**Energy of formation from the pure elements**: -1.49 kJ per mole of atoms

a = 19.7483 Å, b = 19.7483 Å, c = 19.7483 Å
α = 90.00°, β = 90.00°, γ = 90.00°
Space group Fm-3m (No. 225)
Unique sites:
Zn  0.0000  0.0000  0.0000 [4 per cell]
Pd  0.0000  0.0000  0.2001 [24 per cell]
Pd  0.0000  0.0000  0.4000 [24 per cell]
Pd  0.0000  0.0990  0.0990 [48 per cell]
Pd  0.0000  0.1000  0.3000 [96 per cell]
Pd  0.0000  0.1999  0.1999 [48 per cell]
Pd  0.0997  0.0997  0.1997 [96 per cell]
Pd  0.1000  0.1000  0.4000 [32 per cell]
Pd  0.1000  0.2000  0.3000 [96 per cell]
Pd  0.1999  0.1999  0.1999 [32 per cell]


[5]
## AgSnPt (PBE-GGA)

Data for a relaxed AgSnPt crystal.

Output
**Crystal system**: cubic
**Polymorph energy (0 for the lowest one)**: 0.0000 eV/atom

a = 6.3488 Å, b = 6.3488 Å, c = 6.3488 Å
α = 90.00°, β = 90.00°, γ = 90.00°
Space group F-43m (No. 216)
Unique sites:
Ag  0.0000  0.0000  0.0000 [4 per cell]
Sn  0.0000  0.0000  0.5000 [4 per cell]
Pt  0.2500  0.2500  0.2500 [4 per cell]


[6]
## LiBeCu4Sn2 (PBE-GGA)

Data for a relaxed LiBeCu4Sn2 crystal.

Output
**Crystal system**: tetragonal
**Polymorph energy (0 for the lowest one)**: 0.0000 eV/atom

a = 4.3271 Å, b = 4.3271 Å, c = 6.1380 Å
α = 90.00°, β = 90.00°, γ = 90.00°
Space group P4/mmm (No. 123)
Unique sites:
Li  0.0000  0.0000  0.0000 [1 per cell]
Be  0.5000  0.5000  0.5000 [1 per cell]
Cu  0.0000  0.5000  0.2603 [4 per cell]
Sn  0.0000  0.0000  0.5000 [1 per cell]
Sn  0.5000  0.5000  0.0000 [1 per cell]


[7]
## KRbZnGe (PBE-GGA)

Data for a relaxed KRbZnGe crystal.

Output
**Crystal system**: orthorhombic
**Electronic total energy**: -33.79 eV per cell

a = 6.3224 Å, b = 10.7949 Å, c = 7.9374 Å
α = 90.00°, β = 90.00°, γ = 90.00°
Space group Amm2 (No. 38)
Unique sites:
K  0.0000  0.1687  0.0000 [4 per cell]
Rb  0.5000  0.1692  0.7037 [4 per cell]
Zn  0.2505  0.0000  0.3463 [4 per cell]
Ge  0.0000  0.0000  0.5804 [2 per cell]
Ge  0.5000  0.0000  0.1121 [2 per cell]


[8]
## Hf2Ta4Cu3C3 (PBE-GGA)

Data for a relaxed Hf2Ta4Cu3C3 crystal.

Output
**Crystal system**: monoclinic
**Electronic total energy**: -443.65 eV per cell

a = 9.4151 Å, b = 5.4280 Å, c = 13.8457 Å
α = 90.00°, β = 103.30°, γ = 90.00°
Space group C2/c (No. 15)
Unique sites:
Hf  0.0442  0.0807  0.3903 [8 per cell]
Ta  0.1121  0.4109  0.5864 [8 per cell]
Ta  0.2237  0.4191  0.9135 [8 per cell]
Cu  0.0000  0.4427  0.7500 [4 per cell]
Cu  0.2337  0.1488  0.7510 [8 per cell]
C  0.0823  0.2467  0.0000 [8 per cell]
C  0.2500  0.2500  0.5000 [4 per cell]


Computed theoretical density, in the same sequence as the records: 6024, 5708, 7749, 11437, 10945, 7333, 3220, 12611 kg/m³.